Arrangement i

A plane-wave DFT calculation with PBE-GGA was carried out for Tl2FePb after structural relaxation.

a = 3.345 Å, b = 5.521 Å, c = 5.580 Å
α = 90.00°, β = 90.00°, γ = 90.00°
Space group Pmmm (No. 47)
Inequivalent atoms, fractional coordinates:
Tl 0.000 0.000 0.000
Tl 0.500 0.500 0.000
Fe 0.000 0.500 0.500
Pb 0.500 0.000 0.500

Computed properties:
Spin magnetization in μB/f.u.: 3.148

Arrangement ii

A plane-wave DFT calculation with PBE-GGA was carried out for Tl2FePb after structural relaxation.

a = 4.412 Å, b = 3.271 Å, c = 7.558 Å
α = 90.00°, β = 106.48°, γ = 90.00°
Space group Pm (No. 6)
Inequivalent atoms, fractional coordinates:
Tl 0.000 0.000 0.000
Tl 0.364 0.500 0.724
Fe 0.196 0.000 0.388
Pb 0.678 0.500 0.351

Computed properties:
Spin magnetization in μB/f.u.: 2.393

What is the stability order? It is arrangement ii, arrangement i, from most stable to least stable.

Arrangement i

A plane-wave DFT calculation with PBE-GGA was carried out for Tl2FePb after structural relaxation.

a = 7.295 Å, b = 7.295 Å, c = 7.295 Å
α = 90.00°, β = 90.00°, γ = 90.00°
Space group Fm-3m (No. 225)
Inequivalent atoms, fractional coordinates:
Tl 0.250 0.250 0.250
Fe 0.000 0.000 0.000
Pb 0.000 0.000 0.500

Computed properties:
Spin magnetization in μB/f.u.: 0.003

Arrangement ii

A plane-wave DFT calculation with PBE-GGA was carried out for Tl2FePb after structural relaxation.

a = 3.626 Å, b = 4.775 Å, c = 6.139 Å
α = 90.00°, β = 105.72°, γ = 90.00°
Space group P2/m (No. 10)
Inequivalent atoms, fractional coordinates:
Tl 0.129 0.000 0.276
Fe 0.500 0.500 0.500
Pb 0.500 0.500 0.000

Computed properties:
Spin magnetization in μB/f.u.: 2.969

Arrangement iii

A plane-wave DFT calculation with PBE-GGA was carried out for Tl2FePb after structural relaxation.

a = 3.279 Å, b = 3.279 Å, c = 9.231 Å
α = 90.00°, β = 90.00°, γ = 90.00°
Space group P4/mmm (No. 123)
Inequivalent atoms, fractional coordinates:
Tl 0.000 0.000 0.199
Fe 0.500 0.500 0.000
Pb 0.500 0.500 0.500

Computed properties:
Spin magnetization in μB/f.u.: 2.915

What is the stability order? It is arrangement iii, arrangement ii, arrangement i, from most stable to least stable.